Entry 1:
VASP calculation (GGA-PBE) on crystalline Ba2CuAs3 at its relaxed geometry.

```
12
Lattice="6.3332 0.4362 -2.0867 -1.1984 6.2340 -2.0867 -0.5330 -0.6923 8.8138" Properties=species:S:1:pos:R:3 pbc="T T T"
Ba 0.4180 4.4384 2.3202
Ba 1.1661 1.5148 -0.9478
Ba 3.9687 5.1555 -3.2256
Ba 4.1838 1.5395 2.3202
As 4.5103 2.5503 -0.9507
As 0.0916 3.4277 5.5911
As 3.8969 5.0623 2.3096
As 0.7049 0.9157 2.3308
As 3.2902 0.9654 5.5911
As 1.3117 5.0126 -0.9507
Cu 3.2564 4.2302 0.1916
Cu 1.3454 1.7477 4.4488
```

## Properties
Total magnetic moment in μB per cell: 0.000
SG: Fmmm (69)
Fermi-level density of states in states/eV per cell: 5.0
Formation energy in meV per atom: -748
DFT total energy in eV/cell: -52.76

=====

Entry 2:
VASP calculation (GGA-PBE) on crystalline BaCu6As4 at its relaxed geometry.

```
11
Lattice="6.4716 0.0485 0.0713 -2.9492 5.7607 -0.0713 -2.9492 -2.1843 5.3311" Properties=species:S:1:pos:R:3 pbc="T T T"
As -2.5031 3.1350 4.6106
As 1.1004 1.6880 2.4825
As -1.9612 -0.4281 2.8485
As -1.9612 2.8064 0.6492
Cu 3.0971 0.8964 1.3184
Cu -3.5863 0.9764 4.0127
Cu -1.2497 1.9559 2.8764
Cu 1.7612 -1.0679 2.7012
Cu 1.7612 2.9046 0.0000
Cu -3.5863 3.3727 2.3833
Ba 0.0000 0.0000 0.0000
```

## Properties
Total magnetic moment in μB per cell: 0.000
SG: I-42m (121)
Fermi-level density of states in states/eV per cell: 4.9
Formation energy in meV per atom: -85
DFT total energy in eV/cell: -46.03

=====

Entry 3:
VASP calculation (GGA-PBE) on crystalline BaCu2As2 at its relaxed geometry.

```
10
Lattice="-6.2004 -1.3801 -4.8565 4.8234 -3.8917 -5.0522 -0.5922 -2.7184 1.5286" Properties=species:S:1:pos:R:3 pbc="T T T"
Ba -0.6885 -2.6359 -4.9544
Ba 0.0000 0.0000 0.0000
As -3.8614 -3.8298 -5.0105
As -0.3617 -5.5335 -6.6844
As 1.8922 -4.1605 -3.3696
As -1.6076 -2.4568 -1.6957
Cu -2.5905 -3.5990 -7.4039
Cu -3.2499 -1.2631 -3.5053
Cu 1.8729 -4.0088 -6.4034
Cu 1.2135 -1.6729 -2.5048
```

## Properties
Total magnetic moment in μB per cell: 0.000
SG: P4/mbm (127)
Fermi-level density of states in states/eV per cell: 5.4
Formation energy in meV per atom: -93
DFT total energy in eV/cell: -39.76

=====

Entry 4:
VASP calculation (GGA-PBE) on crystalline Ba2Cu2As at its relaxed geometry.

```
5
Lattice="-2.3267 2.1154 -2.2968 -2.1723 -3.1542 -0.7045 -7.5644 1.5192 5.7610" Properties=species:S:1:pos:R:3 pbc="T T T"
As 0.0000 0.0000 0.0000
Ba -8.7564 0.5942 2.8154
Ba -3.3070 -0.1138 -0.0558
Cu -6.0703 1.5576 0.9817
Cu -5.9931 -1.0772 1.7779
```

## Properties
Total magnetic moment in μB per cell: 0.000
SG: I4/mmm (139)
Fermi-level density of states in states/eV per cell: 2.5
Formation energy in meV per atom: -260
DFT total energy in eV/cell: -17.99

=====

Entry 5:
VASP calculation (GGA-PBE) on crystalline Ba3Cu4As4 at its relaxed geometry.

```
11
Lattice="-3.9436 -2.7710 -0.8024 2.3749 -2.6816 -2.4157 2.4284 -9.1904 8.7181" Properties=species:S:1:pos:R:3 pbc="T T T"
Ba -1.9178 -6.1970 1.1257
Ba 2.7774 -8.4461 4.3743
Ba 0.0000 -0.0001 0.0000
Cu 0.4800 -8.5413 2.2212
Cu 0.3796 -6.1018 3.2788
Cu -0.0585 -9.2636 6.3549
Cu 0.9181 -5.3795 -0.8549
As 1.3573 -11.2051 6.0383
As -0.4977 -3.4381 -0.5382
As -0.7249 -8.0423 4.3464
As 1.5845 -6.6008 1.1536
```

## Properties
Total magnetic moment in μB per cell: 0.000
SG: C2/m (12)
Fermi-level density of states in states/eV per cell: 1.2
Formation energy in meV per atom: -627
DFT total energy in eV/cell: -47.65

=====

Entry 6:
VASP calculation (GGA-PBE) on crystalline Ba3Cu6As5 at its relaxed geometry.

```
28
Lattice="-1.7577 -0.7299 -3.8177 4.4009 -9.8506 -0.1428 -10.4549 -4.7539 5.7225" Properties=species:S:1:pos:R:3 pbc="T T T"
Ba -2.4797 -4.1357 1.9324
Ba -2.7680 -10.2141 0.8441
Ba 0.7744 -8.4569 -1.1228
Ba -6.4191 -11.7278 2.8145
Ba 1.0626 -2.3784 -0.0345
Ba -5.7412 -5.6187 3.7176
As -5.6686 -3.7217 0.9382
As 0.7536 -5.6021 0.7241
As -8.9300 -5.6557 2.8095
As -2.4590 -6.9904 0.0855
As 0.3668 -10.0551 1.7536
As -3.2303 -11.6907 3.7225
As 3.9632 -8.8708 -0.1286
As -6.7936 -9.0339 4.8551
As -5.3667 -8.3126 1.6770
As -2.0722 -2.5374 -0.9440
Cu 1.2685 -5.1714 -1.9785
Cu -4.4321 -9.2408 3.8074
Cu -0.6567 -7.5241 1.7409
Cu -7.7282 -8.1056 2.7247
Cu -1.0486 -5.0684 -0.9314
Cu -8.5962 -3.9911 4.7208
Cu -0.8784 -12.1116 2.7201
Cu -2.9739 -7.4211 2.7881
Cu -0.8270 -0.4810 -1.9105
Cu -1.7976 -0.8997 0.9996
Cu -3.5641 -13.3554 1.8112
Cu 0.0922 -11.6928 -0.1901
```

## Properties
Total magnetic moment in μB per cell: 0.000
SG: Pmmn (59)
Fermi-level density of states in states/eV per cell: 7.7
Formation energy in meV per atom: -486
DFT total energy in eV/cell: -120.79

=====

Entry 7:
VASP calculation (GGA-PBE) on crystalline Ba2Cu2As3 at its relaxed geometry.

```
14
Lattice="4.1112 0.0000 -0.9802 0.0000 7.6745 0.0000 0.5328 0.0000 11.3470" Properties=species:S:1:pos:R:3 pbc="T T T"
As 3.6408 1.9186 6.1591
As 2.4536 3.1291 1.1794
As 1.0032 5.7558 4.2078
As 2.4536 0.7081 1.1794
As 2.1904 4.5454 9.1875
As 2.1904 6.9663 9.1875
Cu 2.8876 4.5602 2.9995
Cu 1.7565 3.1142 7.3673
Cu 2.8876 6.9515 2.9995
Cu 1.7565 0.7230 7.3673
Ba 0.9622 1.9186 4.0357
Ba 3.6819 5.7558 6.3312
Ba 0.1850 5.7558 0.7759
Ba 4.4590 1.9186 9.5909
```

## Properties
Total magnetic moment in μB per cell: 0.000
SG: Cmcm (63)
Fermi-level density of states in states/eV per cell: 4.1
Formation energy in meV per atom: -608
DFT total energy in eV/cell: -60.48

=====

Entry 8:
VASP calculation (GGA-PBE) on crystalline Ba2Cu12As7 at its relaxed geometry.

```
21
Lattice="-2.4926 0.7693 3.4064 -5.5954 -7.7604 -2.3418 7.7698 -1.1452 5.9443" Properties=species:S:1:pos:R:3 pbc="T T T"
As -2.2105 -3.0361 0.4920
As -3.3113 -7.2107 0.6293
As 0.1307 -5.8112 2.8319
As -1.2463 0.3847 1.7032
As 2.9931 -0.9256 6.3796
As 1.8924 -5.1002 6.5169
As -0.4489 -2.3251 4.1769
Cu -1.2883 -7.8052 2.1054
Cu 5.6831 -1.8785 5.5768
Cu -1.1210 -7.0956 5.1924
Cu -0.1712 -4.7265 5.0610
Cu 3.4460 -3.2342 7.3709
Cu -3.7642 -4.9021 -0.3621
Cu -6.0013 -6.2578 1.4320
Cu -2.4012 -1.4292 2.9759
Cu 0.8028 -1.0407 1.8164
Cu 2.0830 -6.7071 4.0329
Cu -0.1470 -3.4098 1.9478
Cu 0.9701 -0.3311 4.9035
Ba 2.6954 -3.1591 4.0287
Ba -3.0136 -4.9772 2.9801
```

## Properties
Total magnetic moment in μB per cell: 0.000
SG: P-3 (147)
Fermi-level density of states in states/eV per cell: 9.2
Formation energy in meV per atom: -200
DFT total energy in eV/cell: -89.74

=====

Entry 9:
VASP calculation (GGA-PBE) on crystalline BaCu4As3 at its relaxed geometry.

```
8
Lattice="4.1567 0.0000 0.0000 0.0000 4.1567 0.0000 0.0000 0.0000 8.9114" Properties=species:S:1:pos:R:3 pbc="T T T"
As 0.0000 0.0000 0.0000
As 2.0784 2.0784 2.6915
As 2.0784 2.0784 6.2199
Cu 0.0000 2.0784 1.4107
Cu 2.0784 0.0000 7.5007
Cu 0.0000 2.0784 7.5007
Cu 2.0784 0.0000 1.4107
Ba 0.0000 0.0000 4.4557
```

## Properties
Total magnetic moment in μB per cell: 0.000
SG: P4/mmm (123)
Fermi-level density of states in states/eV per cell: 3.7
Formation energy in meV per atom: -311
DFT total energy in eV/cell: -34.75

=====

Entry 10:
VASP calculation (GGA-PBE) on crystalline BaCu4As at its relaxed geometry.

```
6
Lattice="0.0000 3.7713 3.7713 3.7713 0.0000 3.7713 3.7713 3.7713 0.0000" Properties=species:S:1:pos:R:3 pbc="T T T"
Ba 0.0000 0.0000 0.0000
Cu 2.8369 4.7057 4.7057
Cu 2.8369 2.8369 2.8369
Cu 4.7057 4.7057 2.8369
Cu 4.7057 2.8369 4.7057
As 5.6570 5.6570 5.6570
```

## Properties
Total magnetic moment in μB per cell: 0.000
SG: F-43m (216)
Fermi-level density of states in states/eV per cell: 0.7
Formation energy in meV per atom: 51
DFT total energy in eV/cell: -22.65

=====

Entry 11:
VASP calculation (GGA-PBE) on crystalline BaCu2As2 at its relaxed geometry.

```
5
Lattice="-4.2463 0.1715 -0.4584 0.1475 -3.3688 -2.6268 -2.6799 -5.1455 2.9708" Properties=species:S:1:pos:R:3 pbc="T T T"
As -4.5542 -5.7591 0.1748
As -2.2245 -2.5837 -0.2891
Cu -2.2909 -5.0565 -0.5993
Cu -4.4878 -3.2863 0.4850
Ba 0.0000 0.0000 0.0000
```

## Properties
Total magnetic moment in μB per cell: 0.000
SG: I4/mmm (139)
Fermi-level density of states in states/eV per cell: 2.2
Formation energy in meV per atom: -516
DFT total energy in eV/cell: -22.00

=====

Entry 12:
VASP calculation (GGA-PBE) on crystalline Ba2Cu2As at its relaxed geometry.

```
10
Lattice="-4.9268 -2.1240 -5.4918 0.7110 -7.3228 2.1944 -3.5002 0.5387 2.9317" Properties=species:S:1:pos:R:3 pbc="T T T"
Cu -0.2666 -3.0878 0.2491
Cu -3.9492 -6.3591 -3.5465
Cu -1.2872 -7.3425 -0.1877
Cu -2.9286 -2.1044 -3.1098
As -2.1079 -4.7234 -1.6487
As 0.0000 0.0000 0.0000
Ba -2.2080 -5.2147 1.9268
Ba -3.1257 -1.7957 0.2029
Ba -5.5080 -3.6935 -2.2926
Ba -4.5902 -7.1125 -0.5686
```

## Properties
Total magnetic moment in μB per cell: 0.000
SG: P4/mbm (127)
Fermi-level density of states in states/eV per cell: 5.7
Formation energy in meV per atom: -239
DFT total energy in eV/cell: -35.77

=====

Entry 13:
VASP calculation (GGA-PBE) on crystalline BaEuCuAs at its relaxed geometry.

```
4
Lattice="5.4391 0.0000 0.0000 2.7196 4.7104 0.0000 2.7196 1.5701 4.4410" Properties=species:S:1:pos:R:3 pbc="T T T"
Ba 5.4391 3.1403 2.2205
Eu 0.0000 0.0000 0.0000
As 8.1587 4.7104 3.3308
Cu 2.7196 1.5701 1.1103
```

## Properties
Total magnetic moment in μB per cell: 6.996
SG: F-43m (216)
Fermi-level density of states in states/eV per cell: 11.9
Formation energy in meV per atom: -565
DFT total energy in eV/cell: -23.20

=====

Entry 14:
VASP calculation (GGA-PBE) on crystalline BaCu2Ge2As6 at its relaxed geometry.

```
11
Lattice="-6.6970 -1.7773 2.4290 -3.6809 -2.0424 -4.2359 2.9007 -5.1201 6.3270" Properties=species:S:1:pos:R:3 pbc="T T T"
As -6.2135 -4.1908 3.9499
As -1.3564 -1.1178 -1.0216
As -2.8805 -7.2057 4.3437
As -1.2637 -4.7490 0.5702
As -4.5966 -1.7341 0.1765
As -6.1208 -7.8219 5.5417
Ge -4.7678 -5.8026 5.1355
Ge -2.7094 -3.1372 -0.6154
Ba -1.8981 -3.4487 4.3780
Cu -5.6918 -2.6945 2.0970
Cu -1.7853 -6.2453 2.4232
```

## Properties
Total magnetic moment in μB per cell: 0.000
SG: P-1 (2)
Fermi-level density of states in states/eV per cell: 4.0
Formation energy in meV per atom: -114
DFT total energy in eV/cell: -48.50

=====

Entry 15:
VASP calculation (GGA-PBE) on crystalline BaCuGeAs2 at its relaxed geometry.

```
10
Lattice="6.0755 0.0000 0.0000 -3.0377 5.0574 0.0000 0.0000 0.0000 8.0933" Properties=species:S:1:pos:R:3 pbc="T T T"
Cu 4.5566 0.0000 0.0000
Cu 1.5189 0.0000 0.0000
As 0.0000 3.8292 6.5974
As 0.0000 1.2282 6.5974
As 3.0377 3.8292 1.4959
As 3.0377 1.2282 1.4959
Ba 3.0377 2.5287 6.2653
Ba 0.0000 2.5287 1.8280
Ge 0.0000 0.0000 4.0467
Ge 3.0377 0.0000 4.0467
```

## Properties
Total magnetic moment in μB per cell: 0.000
SG: Cmme (67)
Fermi-level density of states in states/eV per cell: 5.9
Formation energy in meV per atom: -291
DFT total energy in eV/cell: -42.78

=====

Entry 16:
VASP calculation (GGA-PBE) on crystalline BaCuGeAs at its relaxed geometry.

```
8
Lattice="4.0049 0.0000 0.0000 0.0000 4.0049 0.0000 0.0000 0.0000 12.3351" Properties=species:S:1:pos:R:3 pbc="T T T"
As 3.0037 3.0037 10.8848
As 1.0012 1.0012 1.4503
Ba 3.0037 3.0037 3.1095
Ba 1.0012 1.0012 9.2256
Cu 3.0037 1.0012 0.0000
Cu 1.0012 3.0037 0.0000
Ge 1.0012 3.0037 6.1676
Ge 3.0037 1.0012 6.1676
```

## Properties
Total magnetic moment in μB per cell: 0.000
SG: P4/nmm (129)
Fermi-level density of states in states/eV per cell: 7.1
Formation energy in meV per atom: -397
DFT total energy in eV/cell: -33.75

=====

Entry 17:
VASP calculation (GGA-PBE) on crystalline BaCu2AsH2 at its relaxed geometry.

```
12
Lattice="-3.1234 -3.0181 -2.5966 4.9934 -4.5648 -0.7006 -3.8218 -0.8324 5.5648" Properties=species:S:1:pos:R:3 pbc="T T T"
As 1.3245 -6.2460 -1.7294
As -3.2762 -2.1694 3.9970
Cu 0.1751 -0.9189 0.8543
Cu -2.1269 -7.4965 1.4133
Cu -1.3846 -2.4261 -0.4423
Cu -0.5672 -5.9893 2.7099
H -0.3842 -4.3282 3.0275
H -1.5676 -4.0872 -0.7599
H -1.0591 -6.2148 1.1014
H -0.8927 -2.2006 1.1662
Ba -3.3102 -4.3164 1.6028
Ba 1.3585 -4.0990 0.6649
```

## Properties
Total magnetic moment in μB per cell: 0.000
SG: P2_1/m (11)
Fermi-level density of states in states/eV per cell: 5.4
DFT total energy in eV/cell: -46.68

=====

Entry 18:
VASP calculation (GGA-PBE) on crystalline BaCu2AsH at its relaxed geometry.

```
10
Lattice="-0.7011 -2.4577 -3.5330 0.5440 -3.4682 4.9956 -6.8479 0.4412 1.0519" Properties=species:S:1:pos:R:3 pbc="T T T"
Ba -2.0368 -1.7437 -1.0737
Ba -4.9682 -3.7410 3.5883
Cu -0.6834 -4.4050 0.5091
Cu -3.1775 -4.2443 0.8922
Cu -3.8275 -1.2404 1.6224
Cu -6.3216 -1.0797 2.0055
H 0.0000 0.0000 0.0000
H -3.4240 0.2206 0.5260
As -5.4022 -2.9430 0.4284
As -1.6028 -2.5417 2.0862
```

## Properties
Total magnetic moment in μB per cell: 0.000
SG: Cmcm (63)
Fermi-level density of states in states/eV per cell: 0.3
DFT total energy in eV/cell: -40.05

=====

Entry 19:
VASP calculation (GGA-PBE) on crystalline Ba2Cu2As2H at its relaxed geometry.

```
7
Lattice="4.2990 0.0000 0.0000 2.1495 5.8207 -0.4172 2.1495 1.7680 6.0407" Properties=species:S:1:pos:R:3 pbc="T T T"
Cu 4.2990 1.7778 0.3879
Cu 4.2990 5.8109 5.2356
H 0.0000 0.0000 0.0000
Ba 4.2990 2.4420 4.1197
Ba 4.2990 5.1467 1.5038
As 2.1495 2.5414 1.2877
As 6.4485 5.0472 4.3358
```

## Properties
Total magnetic moment in μB per cell: 0.000
SG: C2/m (12)
Fermi-level density of states in states/eV per cell: 2.3
DFT total energy in eV/cell: -28.92

=====

Entry 20:
VASP calculation (GGA-PBE) on crystalline BaHfCuAs3 at its relaxed geometry.

```
12
Lattice="4.1903 0.0000 0.0000 -2.0951 7.9249 0.0000 0.0000 0.0000 8.7915" Properties=species:S:1:pos:R:3 pbc="T T T"
Cu 2.0951 0.3586 6.5936
Cu 0.0000 7.5663 2.1979
As 0.0000 6.2154 7.9512
As 0.0000 6.2154 5.2360
As 0.0000 1.5972 6.5936
As 2.0951 1.7095 0.8403
As 2.0951 1.7095 3.5554
As 2.0951 6.3277 2.1979
Hf 0.0000 0.0000 4.3957
Hf 0.0000 0.0000 0.0000
Ba 0.0000 3.8704 2.1979
Ba 2.0951 4.0545 6.5936
```

## Properties
Total magnetic moment in μB per cell: 0.000
SG: Cmcm (63)
Fermi-level density of states in states/eV per cell: 2.6
Formation energy in meV per atom: -727
DFT total energy in eV/cell: -68.57